(1)
An optimized crystal structure of LuThTl2, computed with PBE.

Cell lengths 3.5472, 3.5472, 8.7710 Å; angles 90.00, 90.00, 90.00 degrees
With the nearest neighbours (Å) after each atom.
Positions (direct):
Tl1 0.0000 0.0000 0.7647  4 Lu 3.25, 4 Th 3.42, 4 Tl 3.55
Tl2 0.0000 0.0000 0.2353  4 Lu 3.25, 4 Th 3.42, 4 Tl 3.55
Lu1 0.5000 0.5000 0.0000  8 Tl 3.25, 4 Lu 3.55
Th1 0.5000 0.5000 0.5000  8 Tl 3.42, 4 Th 3.55

Computed properties:
Crystal system = tetragonal
Space-group type = P4/mmm, No. 123
ΔH_f (0 K) = -0.8 eV per formula unit

(2)
An optimized crystal structure of TmLuThTl, computed with PBE.

Cell lengths 5.4549, 5.4549, 5.4549 Å; angles 60.00, 60.00, 60.00 degrees
With the nearest neighbours (Å) after each atom.
Positions (direct):
Tl1 0.0000 0.0000 0.0000  4 Th 3.34, 4 Tm 3.34
Lu1 0.5000 0.5000 0.5000  4 Tm 3.34, 4 Th 3.34
Tm1 0.2500 0.2500 0.2500  4 Tl 3.34, 4 Lu 3.34
Th1 0.7500 0.7500 0.7500  4 Lu 3.34, 4 Tl 3.34

Computed properties:
Crystal system = cubic
Space-group type = F-43m, No. 216
ΔH_f (0 K) = 0.2 eV per formula unit

(3)
An optimized crystal structure of TmLuTh2, computed with PBE.

Cell lengths 3.5453, 3.5453, 9.9000 Å; angles 90.00, 90.00, 90.00 degrees
With the nearest neighbours (Å) after each atom.
Positions (direct):
Lu1 0.5000 0.5000 0.0000  8 Th 3.52, 4 Lu 3.55
Tm1 0.5000 0.5000 0.5000  8 Th 3.53, 4 Tm 3.55
Th1 0.0000 0.0000 0.7510  4 Lu 3.52, 4 Tm 3.53, 4 Th 3.55
Th2 0.0000 0.0000 0.2490  4 Lu 3.52, 4 Tm 3.53, 4 Th 3.55

Computed properties:
Crystal system = tetragonal
Space-group type = P4/mmm, No. 123
ΔH_f (0 K) = 0.1 eV per formula unit
E above lowest polymorph = 0.006 eV/atom

(4)
An optimized crystal structure of TmLu4Th, computed with PBE.

Cell lengths 6.4364, 6.4364, 6.4364 Å; angles 60.00, 60.00, 60.00 degrees
With the nearest neighbours (Å) after each atom.
Positions (direct):
Lu1 0.6249 0.6249 0.1254  6 Lu 3.21-3.22
Lu2 0.6249 0.1254 0.6249  6 Lu 3.21-3.22
Lu3 0.6249 0.6249 0.6249  6 Lu 3.21-3.22
Lu4 0.1254 0.6249 0.6249  6 Lu 3.21-3.22
Tm1 0.0000 0.0000 0.0000  12 Lu 3.77, 4 Th 3.94
Th1 0.2500 0.2500 0.2500  12 Lu 3.77, 4 Tm 3.94

Computed properties:
Crystal system = cubic
Space-group type = F-43m, No. 216
ΔH_f (0 K) = 1.9 eV per formula unit

(5)
An optimized crystal structure of TmLuTh2, computed with PBE.

Cell lengths 4.9339, 5.0223, 5.0223 Å; angles 90.00, 90.00, 90.00 degrees
With the nearest neighbours (Å) after each atom.
Positions (direct):
Lu1 0.5000 0.5000 0.5000  8 Th 3.52, 4 Tm 3.55
Tm1 0.5000 0.0000 0.0000  8 Th 3.52, 4 Lu 3.55
Th1 0.0000 0.0000 0.5000  4 Tm 3.52, 4 Lu 3.52, 4 Th 3.55
Th2 0.0000 0.5000 0.0000  4 Tm 3.52, 4 Lu 3.52, 4 Th 3.55

Computed properties:
Crystal system = tetragonal
Space-group type = P4/mmm, No. 123
ΔH_f (0 K) = 0.1 eV per formula unit
E above lowest polymorph = 0.000 eV/atom

(6)
An optimized crystal structure of TmLuTh2, computed with PBE.

Cell lengths 5.5984, 5.5984, 5.5984 Å; angles 60.00, 60.00, 60.00 degrees
With the nearest neighbours (Å) after each atom.
Positions (direct):
Lu1 0.5000 0.5000 0.5000  8 Th 3.43
Tm1 0.0000 0.0000 0.0000  8 Th 3.43
Th1 0.2500 0.2500 0.2500  4 Tm 3.43, 4 Lu 3.43
Th2 0.7500 0.7500 0.7500  4 Tm 3.43, 4 Lu 3.43

Computed properties:
Crystal system = cubic
Space-group type = Fm-3m, No. 225
ΔH_f (0 K) = 0.4 eV per formula unit
E above lowest polymorph = 0.081 eV/atom

(7)
An optimized crystal structure of YTmLuTh, computed with PBE.

Cell lengths 5.6170, 5.6170, 5.6170 Å; angles 60.00, 60.00, 60.00 degrees
With the nearest neighbours (Å) after each atom.
Positions (direct):
Y1 0.0000 0.0000 0.0000  4 Tm 3.44, 4 Lu 3.44
Lu1 0.2500 0.2500 0.2500  4 Y 3.44, 4 Th 3.44
Tm1 0.7500 0.7500 0.7500  4 Th 3.44, 4 Y 3.44
Th1 0.5000 0.5000 0.5000  4 Lu 3.44, 4 Tm 3.44

Computed properties:
Crystal system = cubic
Space-group type = F-43m, No. 216
ΔH_f (0 K) = 0.5 eV per formula unit

(8)
An optimized crystal structure of TmLuThZn, computed with PBE.

Cell lengths 5.3157, 5.3157, 5.3157 Å; angles 60.00, 60.00, 60.00 degrees
With the nearest neighbours (Å) after each atom.
Positions (direct):
Zn1 0.2500 0.2500 0.2500  4 Tm 3.26, 4 Th 3.26
Lu1 0.7500 0.7500 0.7500  4 Th 3.26, 4 Tm 3.26
Tm1 0.5000 0.5000 0.5000  4 Lu 3.26, 4 Zn 3.26
Th1 0.0000 0.0000 0.0000  4 Zn 3.26, 4 Lu 3.26

Computed properties:
Crystal system = cubic
Space-group type = F-43m, No. 216
ΔH_f (0 K) = 0.3 eV per formula unit

(9)
An optimized crystal structure of LuThV4, computed with PBE.

Cell lengths 5.3554, 5.3554, 5.3554 Å; angles 60.00, 60.00, 60.00 degrees
With the nearest neighbours (Å) after each atom.
Positions (direct):
Lu1 0.0000 0.0000 0.0000  12 V 3.14, 4 Th 3.28
Th1 0.2500 0.2500 0.2500  12 V 3.14, 4 Lu 3.28
V1 0.6254 0.6254 0.1238  6 V 2.67-2.69
V2 0.6254 0.1238 0.6254  6 V 2.67-2.69
V3 0.6254 0.6254 0.6254  6 V 2.67-2.69
V4 0.1238 0.6254 0.6254  6 V 2.67-2.69

Computed properties:
Crystal system = cubic
Space-group type = F-43m, No. 216
ΔH_f (0 K) = 1.1 eV per formula unit

(10)
An optimized crystal structure of LuThW4, computed with PBE.

Cell lengths 5.5648, 5.5648, 5.5648 Å; angles 60.00, 60.00, 60.00 degrees
With the nearest neighbours (Å) after each atom.
Positions (direct):
Lu1 0.0000 0.0000 0.0000  12 W 3.26, 4 Th 3.41
W1 0.6248 0.6248 0.1256  6 W 2.78-2.79
W2 0.6248 0.1256 0.6248  6 W 2.78-2.79
W3 0.6248 0.6248 0.6248  6 W 2.78-2.79
W4 0.1256 0.6248 0.6248  6 W 2.78-2.79
Th1 0.2500 0.2500 0.2500  12 W 3.26, 4 Lu 3.41

Computed properties:
Crystal system = cubic
Space-group type = F-43m, No. 216
ΔH_f (0 K) = 0.6 eV per formula unit

(11)
An optimized crystal structure of YLu2Th, computed with PBE.

Cell lengths 3.5314, 3.5314, 9.9433 Å; angles 90.00, 90.00, 90.00 degrees
With the nearest neighbours (Å) after each atom.
Positions (direct):
Y1 0.5000 0.5000 0.5000  4 Y 3.53, 8 Lu 3.56
Lu1 0.0000 0.0000 0.7552  4 Th 3.49, 4 Lu 3.53, 4 Y 3.56
Lu2 0.0000 0.0000 0.2448  4 Th 3.49, 4 Lu 3.53, 4 Y 3.56
Th1 0.5000 0.5000 0.0000  8 Lu 3.49, 4 Th 3.53

Computed properties:
Crystal system = tetragonal
Space-group type = P4/mmm, No. 123
ΔH_f (0 K) = 0.1 eV per formula unit
E above lowest polymorph = 0.000 eV/atom

(12)
An optimized crystal structure of YLuTh, computed with PBE.

Cell lengths 3.5572, 3.5572, 7.8776 Å; angles 103.05, 103.05, 90.00 degrees
With the nearest neighbours (Å) after each atom.
Positions (direct):
Y1 0.9967 0.9967 0.9934  4 Th 3.52, 4 Y 3.56, 4 Lu 3.63
Lu1 0.6719 0.6719 0.3437  4 Th 3.46, 4 Lu 3.56, 4 Y 3.63
Th1 0.3315 0.3315 0.6629  4 Lu 3.46, 4 Y 3.52, 4 Th 3.56

Computed properties:
Crystal system = tetragonal
Space-group type = I4mm, No. 107
ΔH_f (0 K) = 0.1 eV per formula unit
E above lowest polymorph = 0.006 eV/atom

(13)
An optimized crystal structure of YLuTh, computed with PBE.

Cell lengths 3.5600, 3.5600, 8.5737 Å; angles 90.00, 90.00, 120.00 degrees
With the nearest neighbours (Å) after each atom.
Positions (direct):
Y1 0.3333 0.6667 0.6694  3 Th 3.52, 6 Y 3.56, 3 Lu 3.58
Lu1 0.6667 0.3333 0.3275  3 Th 3.46, 6 Lu 3.56, 3 Y 3.58
Th1 0.0000 0.0000 0.0031  3 Lu 3.46, 3 Y 3.52, 6 Th 3.56

Computed properties:
Crystal system = trigonal
Space-group type = P3m1, No. 156
ΔH_f (0 K) = 0.1 eV per formula unit
E above lowest polymorph = 0.000 eV/atom

(14)
An optimized crystal structure of YLu2Th, computed with PBE.

Cell lengths 4.9157, 5.0101, 5.0101 Å; angles 90.00, 90.00, 90.00 degrees
With the nearest neighbours (Å) after each atom.
Positions (direct):
Y1 0.5000 0.0000 0.0000  8 Lu 3.51, 4 Th 3.54
Lu1 0.0000 0.0000 0.5000  4 Th 3.51, 4 Y 3.51, 4 Lu 3.54
Lu2 0.0000 0.5000 0.0000  4 Th 3.51, 4 Y 3.51, 4 Lu 3.54
Th1 0.5000 0.5000 0.5000  8 Lu 3.51, 4 Y 3.54

Computed properties:
Crystal system = tetragonal
Space-group type = P4/mmm, No. 123
ΔH_f (0 K) = 0.2 eV per formula unit
E above lowest polymorph = 0.016 eV/atom

(15)
An optimized crystal structure of YLu2Th, computed with PBE.

Cell lengths 5.6036, 5.6036, 5.6036 Å; angles 60.00, 60.00, 60.00 degrees
With the nearest neighbours (Å) after each atom.
Positions (direct):
Y1 0.5000 0.5000 0.5000  8 Lu 3.43
Lu1 0.2500 0.2500 0.2500  4 Th 3.43, 4 Y 3.43
Lu2 0.7500 0.7500 0.7500  4 Y 3.43, 4 Th 3.43
Th1 0.0000 0.0000 0.0000  8 Lu 3.43

Computed properties:
Crystal system = cubic
Space-group type = Fm-3m, No. 225
ΔH_f (0 K) = 0.4 eV per formula unit
E above lowest polymorph = 0.084 eV/atom

(16)
An optimized crystal structure of Lu2ThZn, computed with PBE.

Cell lengths 4.7864, 4.6963, 4.6963 Å; angles 90.00, 90.00, 90.00 degrees
With the nearest neighbours (Å) after each atom.
Positions (direct):
Zn1 0.5000 0.0000 0.0000  4 Th 3.32, 8 Lu 3.35
Lu1 0.0000 0.0000 0.5000  4 Lu 3.32, 4 Th 3.35, 4 Zn 3.35
Lu2 0.0000 0.5000 0.0000  4 Lu 3.32, 4 Zn 3.35, 4 Th 3.35
Th1 0.5000 0.5000 0.5000  4 Zn 3.32, 8 Lu 3.35

Computed properties:
Crystal system = tetragonal
Space-group type = P4/mmm, No. 123
ΔH_f (0 K) = 0.0 eV per formula unit
E above lowest polymorph = 0.177 eV/atom

(17)
An optimized crystal structure of Lu2ThZn, computed with PBE.

Cell lengths 3.5158, 3.5158, 10.3035 Å; angles 80.18, 80.18, 60.00 degrees
With the nearest neighbours (Å) after each atom.
Positions (direct):
Zn1 0.0000 0.0000 0.0000  6 Lu 3.00
Lu1 0.7395 0.7395 0.7815  3 Zn 3.00
Lu2 0.2605 0.2605 0.2185  3 Zn 3.00
Th1 0.5000 0.5000 0.5000  6 Lu 3.49, 6 Th 3.52

Computed properties:
Crystal system = trigonal
Space-group type = R-3m, No. 166
ΔH_f (0 K) = -0.3 eV per formula unit
E above lowest polymorph = 0.097 eV/atom

(18)
An optimized crystal structure of LuThZn, computed with PBE.

Cell lengths 3.6689, 5.0018, 5.0018 Å; angles 120.00, 90.00, 90.00 degrees
With the nearest neighbours (Å) after each atom.
Positions (direct):
Zn1 0.1778 0.3333 0.6667  3 Lu 2.89
Lu1 0.1586 0.0000 0.0000  3 Zn 2.89
Th1 0.6636 0.6667 0.3333  6 Zn 3.39-3.45, 6 Lu 3.41-3.43, 2 Th 3.67

Computed properties:
Crystal system = trigonal
Space-group type = P3m1, No. 156
ΔH_f (0 K) = 0.1 eV per formula unit
E above lowest polymorph = 0.172 eV/atom

(19)
An optimized crystal structure of LuThZn, computed with PBE.

Cell lengths 3.5262, 3.5262, 6.7310 Å; angles 105.19, 105.19, 90.00 degrees
With the nearest neighbours (Å) after each atom.
Positions (direct):
Zn1 0.6569 0.6569 0.3138  4 Lu 3.02, 4 Th 3.24
Lu1 0.0213 0.0213 0.0426  4 Zn 3.02
Th1 0.3218 0.3218 0.6436  4 Zn 3.24, 4 Th 3.53, 4 Lu 3.53

Computed properties:
Crystal system = tetragonal
Space-group type = I4mm, No. 107
ΔH_f (0 K) = -0.5 eV per formula unit
E above lowest polymorph = 0.000 eV/atom

(20)
An optimized crystal structure of Lu2ThZn, computed with PBE.

Cell lengths 3.5059, 3.5059, 8.5072 Å; angles 90.00, 90.00, 90.00 degrees
With the nearest neighbours (Å) after each atom.
Positions (direct):
Zn1 0.5000 0.5000 0.0000  8 Lu 3.05
Lu1 0.0000 0.0000 0.7921  4 Zn 3.05
Lu2 0.0000 0.0000 0.2079  4 Zn 3.05
Th1 0.5000 0.5000 0.5000  4 Th 3.51, 8 Lu 3.51

Computed properties:
Crystal system = tetragonal
Space-group type = P4/mmm, No. 123
ΔH_f (0 K) = -0.7 eV per formula unit
E above lowest polymorph = 0.000 eV/atom